No. 1
# PBE GePBr3, optimized geometry
# Total magnetization: 0.891 μB per cell
# Crystal system: cubic
# Density of states at the Fermi level: 0.5842 states/eV per atom
# Energy relative to the elements, uncorrected: 1.7 eV per formula unit
# V: 137.5 Å³ per cell
# Relative energy among the computed polymorphs: 0 meV/atom
data_GePBr3
_space_group_name_H-M_alt 'P m -3 m'
_space_group_IT_number 221
_space_group_name_Hall '-P 4 2 3'
_cell_length_a 5.1612
_cell_length_b 5.1612
_cell_length_c 5.1612
_cell_angle_alpha 90.00
_cell_angle_beta 90.00
_cell_angle_gamma 90.00
loop_
_atom_site_label
_atom_site_fract_x
_atom_site_fract_y
_atom_site_fract_z
Ge1 0.0000 0.0000 0.0000
P1 0.5000 0.5000 0.5000
Br1 0.0000 0.5000 0.5000

No. 2
# PBE Ge2P2Br, optimized geometry
# Total magnetization: 0.000 μB per cell
# Crystal system: tetragonal
# Density of states at the Fermi level: 0.1899 states/eV per atom
# Energy relative to the elements, uncorrected: 0.6 eV per formula unit
# V: 215.4 Å³ per cell
data_Ge2P2Br
_space_group_name_H-M_alt 'I 4/m m m'
_space_group_IT_number 139
_space_group_name_Hall '-I 4 2'
_cell_length_a 3.8629
_cell_length_b 3.8629
_cell_length_c 14.4370
_cell_angle_alpha 90.00
_cell_angle_beta 90.00
_cell_angle_gamma 90.00
loop_
_atom_site_label
_atom_site_fract_x
_atom_site_fract_y
_atom_site_fract_z
Ge1 0.0000 0.0000 0.1239
P1 0.0000 0.5000 0.2500
Br1 0.0000 0.0000 0.5000

No. 3
# PBE Ge2PBr2, optimized geometry
# Total magnetization: 2.016 μB per cell
# Crystal system: tetragonal
# Density of states at the Fermi level: 0.2531 states/eV per atom
# Energy relative to the elements, uncorrected: 2.8 eV per formula unit
# V: 254.0 Å³ per cell
# Relative energy among the computed polymorphs: 406 meV/atom
data_Ge2PBr2
_space_group_name_H-M_alt 'I 4/m m m'
_space_group_IT_number 139
_space_group_name_Hall '-I 4 2'
_cell_length_a 4.5728
_cell_length_b 4.5728
_cell_length_c 12.1492
_cell_angle_alpha 90.00
_cell_angle_beta 90.00
_cell_angle_gamma 90.00
loop_
_atom_site_label
_atom_site_fract_x
_atom_site_fract_y
_atom_site_fract_z
Ge1 0.0000 0.0000 0.1110
P1 0.0000 0.0000 0.5000
Br1 0.0000 0.5000 0.2500

No. 4
# PBE Ge2PBr2, optimized geometry
# Total magnetization: 1.957 μB per cell
# Crystal system: tetragonal
# Density of states at the Fermi level: 0.2513 states/eV per atom
# Energy relative to the elements, uncorrected: 0.8 eV per formula unit
# V: 239.8 Å³ per cell
# Relative energy among the computed polymorphs: 0 meV/atom
data_Ge2PBr2
_space_group_name_H-M_alt 'P 4/m b m'
_space_group_IT_number 127
_space_group_name_Hall '-P 4 2ab'
_cell_length_a 7.1109
_cell_length_b 7.1109
_cell_length_c 4.7417
_cell_angle_alpha 90.00
_cell_angle_beta 90.00
_cell_angle_gamma 90.00
loop_
_atom_site_label
_atom_site_fract_x
_atom_site_fract_y
_atom_site_fract_z
Ge1 0.1692 0.3308 0.0000
P1 0.0000 0.0000 0.0000
Br1 0.1864 0.6864 0.5000

No. 5
# PBE Ge2PBr, optimized geometry
# Total magnetization: 0.000 μB per cell
# Crystal system: cubic
# Density of states at the Fermi level: 0.3787 states/eV per atom
# Energy relative to the elements, uncorrected: 1.6 eV per formula unit
# V: 326.3 Å³ per cell
# Relative energy among the computed polymorphs: 211 meV/atom
data_Ge2PBr
_space_group_name_H-M_alt 'F m -3 m'
_space_group_IT_number 225
_space_group_name_Hall '-F 4 2 3'
_cell_length_a 6.8846
_cell_length_b 6.8846
_cell_length_c 6.8846
_cell_angle_alpha 90.00
_cell_angle_beta 90.00
_cell_angle_gamma 90.00
loop_
_atom_site_label
_atom_site_fract_x
_atom_site_fract_y
_atom_site_fract_z
Ge1 0.2500 0.2500 0.2500
P1 0.0000 0.0000 0.0000
Br1 0.0000 0.0000 0.5000

No. 6
# PBE GeP2PbBr, optimized geometry
# Total magnetization: 0.247 μB per cell
# Crystal system: tetragonal
# Density of states at the Fermi level: 1.2287 states/eV per atom
# Energy relative to the elements, uncorrected: 5.9 eV per formula unit
# V: 158.0 Å³ per cell
data_GeP2PbBr
_space_group_name_H-M_alt 'P 4/m m m'
_space_group_IT_number 123
_space_group_name_Hall '-P 4 2'
_cell_length_a 5.1483
_cell_length_b 5.1483
_cell_length_c 5.9604
_cell_angle_alpha 90.00
_cell_angle_beta 90.00
_cell_angle_gamma 90.00
loop_
_atom_site_label
_atom_site_fract_x
_atom_site_fract_y
_atom_site_fract_z
Ge1 0.0000 0.0000 0.0000
P1 0.0000 0.5000 0.5000
Pb1 0.0000 0.0000 0.5000
Br1 0.5000 0.5000 0.0000

No. 7
# PBE Pm6GeP2Br3, optimized geometry
# Total magnetization: 0.000 μB per cell
# Crystal system: monoclinic
# Density of states at the Fermi level: 0.4356 states/eV per atom
# Energy relative to the elements, uncorrected: -16.6 eV per formula unit
# V: 660.1 Å³ per cell
data_Pm6GeP2Br3
_space_group_name_H-M_alt 'C 1 2/m 1'
_space_group_IT_number 12
_cell_length_a 18.9003
_cell_length_b 4.1762
_cell_length_c 8.7245
_cell_angle_alpha 90.00
_cell_angle_beta 106.56
_cell_angle_gamma 90.00
loop_
_space_group_symop_operation_xyz
'x,y,z'
'-x,-y,-z'
'-x,y,-z'
'x,-y,z'
'x+1/2,y+1/2,z'
'-x+1/2,-y+1/2,-z'
'-x+1/2,y+1/2,-z'
'x+1/2,-y+1/2,z'
loop_
_atom_site_label
_atom_site_fract_x
_atom_site_fract_y
_atom_site_fract_z
Pm1 0.0128 0.0000 0.2321
Pm2 0.1588 0.5000 0.1133
Pm3 0.1776 0.5000 0.5549
Ge1 0.0000 0.5000 0.0000
P1 0.1680 0.0000 0.3344
Br1 0.0000 0.5000 0.5000
Br2 0.1656 0.0000 0.8318

No. 8
# PBE Pm6Ge3P2Br, optimized geometry
# Total magnetization: 0.000 μB per cell
# Crystal system: monoclinic
# Density of states at the Fermi level: 0.4592 states/eV per atom
# Energy relative to the elements, uncorrected: -13.8 eV per formula unit
# V: 639.4 Å³ per cell
data_Pm6Ge3P2Br
_space_group_name_H-M_alt 'C 1 2/m 1'
_space_group_IT_number 12
_cell_length_a 18.4891
_cell_length_b 4.1827
_cell_length_c 8.5312
_cell_angle_alpha 90.00
_cell_angle_beta 104.26
_cell_angle_gamma 90.00
loop_
_space_group_symop_operation_xyz
'x,y,z'
'-x,-y,-z'
'-x,y,-z'
'x,-y,z'
'x+1/2,y+1/2,z'
'-x+1/2,-y+1/2,-z'
'-x+1/2,y+1/2,-z'
'x+1/2,-y+1/2,z'
loop_
_atom_site_label
_atom_site_fract_x
_atom_site_fract_y
_atom_site_fract_z
Pm1 0.0033 0.0000 0.2682
Pm2 0.1689 0.5000 0.5761
Pm3 0.1714 0.5000 0.0942
Ge1 0.0000 0.5000 0.5000
Ge2 0.1632 0.0000 0.8331
P1 0.1664 0.0000 0.3317
Br1 0.0000 0.5000 0.0000

No. 9
# PBE Pr4GeP2Br, optimized geometry
# Total magnetization: 0.000 μB per cell
# Crystal system: monoclinic
# Density of states at the Fermi level: 0.3317 states/eV per atom
# Energy relative to the elements, uncorrected: -10.9 eV per formula unit
# V: 219.7 Å³ per cell
data_Pr4GeP2Br
_space_group_name_H-M_alt 'P 1 2/m 1'
_space_group_IT_number 10
_cell_length_a 7.3858
_cell_length_b 4.2316
_cell_length_c 7.4244
_cell_angle_alpha 90.00
_cell_angle_beta 108.77
_cell_angle_gamma 90.00
loop_
_space_group_symop_operation_xyz
'x,y,z'
'-x,-y,-z'
'-x,y,-z'
'x,-y,z'
loop_
_atom_site_label
_atom_site_fract_x
_atom_site_fract_y
_atom_site_fract_z
Pr1 0.2296 0.0000 0.2259
Pr2 0.2471 0.5000 0.7629
Ge1 0.0000 0.0000 0.5000
P1 0.0000 0.5000 0.0000
P2 0.5000 0.0000 0.0000
Br1 0.5000 0.5000 0.5000

No. 10
# PBE Pr6Ge2PBr3, optimized geometry
# Total magnetization: 0.000 μB per cell
# Crystal system: monoclinic
# Density of states at the Fermi level: 0.3936 states/eV per atom
# Energy relative to the elements, uncorrected: -15.3 eV per formula unit
# V: 705.3 Å³ per cell
data_Pr6Ge2PBr3
_space_group_name_H-M_alt 'C 1 2/m 1'
_space_group_IT_number 12
_cell_length_a 19.2827
_cell_length_b 4.2867
_cell_length_c 8.8872
_cell_angle_alpha 90.00
_cell_angle_beta 106.24
_cell_angle_gamma 90.00
loop_
_space_group_symop_operation_xyz
'x,y,z'
'-x,-y,-z'
'-x,y,-z'
'x,-y,z'
'x+1/2,y+1/2,z'
'-x+1/2,-y+1/2,-z'
'-x+1/2,y+1/2,-z'
'x+1/2,-y+1/2,z'
loop_
_atom_site_label
_atom_site_fract_x
_atom_site_fract_y
_atom_site_fract_z
Pr1 0.0066 0.0000 0.2189
Pr2 0.1539 0.5000 0.0971
Pr3 0.1744 0.5000 0.5617
Ge1 0.1663 0.0000 0.3308
P1 0.0000 0.5000 0.0000
Br1 0.0000 0.5000 0.5000
Br2 0.1687 0.0000 0.8337

No. 11
# PBE Pr8Ge3PBr4, optimized geometry
# Total magnetization: 0.000 μB per cell
# Crystal system: trigonal
# Density of states at the Fermi level: 0.4854 states/eV per atom
# Energy relative to the elements, uncorrected: -20.0 eV per formula unit
# V: 1420.3 Å³ per cell
data_Pr8Ge3PBr4
_space_group_name_H-M_alt 'R -3 m'
_space_group_IT_number 166
_space_group_name_Hall '-R 3 2"'
_cell_length_a 8.5843
_cell_length_b 8.5843
_cell_length_c 22.2555
_cell_angle_alpha 90.00
_cell_angle_beta 90.00
_cell_angle_gamma 120.00
loop_
_atom_site_label
_atom_site_fract_x
_atom_site_fract_y
_atom_site_fract_z
Pr1 0.0000 0.0000 0.2378
Pr2 0.0063 0.5032 0.2363
Ge1 0.0000 0.5000 0.5000
P1 0.0000 0.0000 0.5000
Br1 0.0000 0.0000 0.0000
Br2 0.0000 0.5000 0.0000

No. 12
# PBE Pr6Ge3P2Br, optimized geometry
# Total magnetization: 0.000 μB per cell
# Crystal system: monoclinic
# Density of states at the Fermi level: 0.4947 states/eV per atom
# Energy relative to the elements, uncorrected: -13.6 eV per formula unit
# V: 672.1 Å³ per cell
data_Pr6Ge3P2Br
_space_group_name_H-M_alt 'C 1 2/m 1'
_space_group_IT_number 12
_cell_length_a 18.7851
_cell_length_b 4.2547
_cell_length_c 8.6699
_cell_angle_alpha 90.00
_cell_angle_beta 104.09
_cell_angle_gamma 90.00
loop_
_space_group_symop_operation_xyz
'x,y,z'
'-x,-y,-z'
'-x,y,-z'
'x,-y,z'
'x+1/2,y+1/2,z'
'-x+1/2,-y+1/2,-z'
'-x+1/2,y+1/2,-z'
'x+1/2,-y+1/2,z'
loop_
_atom_site_label
_atom_site_fract_x
_atom_site_fract_y
_atom_site_fract_z
Pr1 0.0031 0.0000 0.2676
Pr2 0.1689 0.5000 0.5764
Pr3 0.1711 0.5000 0.0941
Ge1 0.0000 0.5000 0.5000
Ge2 0.1635 0.0000 0.8335
P1 0.1664 0.0000 0.3320
Br1 0.0000 0.5000 0.0000

Which calculated density belongs to each record? In order, 4.15; 4.43; 4.39; 4.66; 5.21; 4.43; 6.26; 6.39; 5.88; 5.94; 5.95; 5.96 g cm⁻³.